[1]
Computed, not measured: an optimized crystal structure of SmZrF7 at the GGA-PBEsol level of DFT.

Output
- SG: P2_1 (4)

Cell: 5.8246 6.1215 8.3034 Å, 102.72 90.00 90.00°
Sites, in units of the cell vectors:
1 Sm 0.7628 0.1548 0.1888
2 Sm 0.2628 0.8452 0.8112
3 Zr 0.7561 0.3135 0.7255
4 Zr 0.2561 0.6865 0.2745
5 F 0.5573 0.9589 0.9818
6 F 0.0573 0.0411 0.0182
7 F 0.5186 0.5550 0.7354
8 F 0.0186 0.4450 0.2646
9 F 0.2614 0.7323 0.5212
10 F 0.7614 0.2677 0.4788
11 F 0.9921 0.5603 0.7454
12 F 0.4921 0.4397 0.2546
13 F 0.4915 0.0968 0.7071
14 F 0.9915 0.9032 0.2929
15 F 0.4942 0.9286 0.2917
16 F 0.9942 0.0714 0.7083
17 F 0.2515 0.6418 0.0279
18 F 0.7515 0.3582 0.9721

=====

[2]
Computed, not measured: an optimized crystal structure of SnF4 at the GGA-PBEsol level of DFT.

Output
- SG: I4/mmm (139)

Cell: 4.1013 4.1013 4.9372 Å, 114.54 114.54 90.00°
Sites, in units of the cell vectors:
1 Sn 0.0000 0.0000 0.0000
2 F 0.2374 0.2374 0.4748
3 F 0.5000 0.0000 0.0000
4 F 0.0000 0.5000 0.0000
5 F 0.7626 0.7626 0.5252

=====

[3]
Computed, not measured: an optimized crystal structure of SnF3 at the GGA-PBEsol level of DFT.

Output
- SG: Fm-3m (225)

Cell: 6.1365 6.1365 6.1365 Å, 60.00 60.00 60.00°
Sites, in units of the cell vectors:
1 Sn 0.5000 0.5000 0.5000
2 Sn 0.0000 0.0000 0.0000
3 F 0.2703 0.2703 0.7297
4 F 0.2703 0.7297 0.2703
5 F 0.7297 0.7297 0.2703
6 F 0.2703 0.7297 0.7297
7 F 0.7297 0.2703 0.2703
8 F 0.7297 0.2703 0.7297

=====

[4]
Computed, not measured: an optimized crystal structure of Sr2SnF at the GGA-PBEsol level of DFT.

Output
- SG: Fm-3m (225)

Cell: 5.4502 5.4502 5.4502 Å, 60.00 60.00 60.00°
Site moments in Bohr magnetons follow the coordinates.
Sites, in units of the cell vectors:
1 Sr 0.2500 0.2500 0.2500  0.05
2 Sr 0.7500 0.7500 0.7500  0.05
3 Sn 0.5000 0.5000 0.5000  0.33
4 F 0.0000 0.0000 0.0000  0.03

=====

[5]
Computed, not measured: an optimized crystal structure of TiSn6F16 at the GGA-PBEsol level of DFT.

Output
- SG: C2/c (15)

Cell: 7.4795 9.6715 11.0136 Å, 90.43 90.00 112.75°
Sites, in units of the cell vectors:
1 Ti 0.6661 0.0000 0.7500
2 Ti 0.3339 0.0000 0.2500
3 Sn 0.8875 0.1413 0.3943
4 Sn 0.4741 0.7018 0.4615
5 Sn 0.1125 0.8587 0.6057
6 Sn 0.5259 0.2982 0.5385
7 Sn 0.2989 0.4113 0.1761
8 Sn 0.2538 0.1413 0.8943
9 Sn 0.7462 0.8587 0.1057
10 Sn 0.8876 0.5887 0.3239
11 Sn 0.7011 0.5887 0.8239
12 Sn 0.1124 0.4113 0.6761
13 Sn 0.2277 0.7018 0.9615
14 Sn 0.7723 0.2982 0.0385
15 F 0.5956 0.4799 0.4072
16 F 0.8169 0.3276 0.4552
17 F 0.1158 0.5201 0.0928
18 F 0.9998 0.2963 0.2463
19 F 0.8842 0.4799 0.9072
20 F 0.4893 0.6724 0.0448
21 F 0.5556 0.1386 0.7917
22 F 0.7035 0.7037 0.2537
23 F 0.6203 0.9231 0.9089
24 F 0.3797 0.0769 0.0911
25 F 0.3028 0.9231 0.4089
26 F 0.7210 0.4438 0.6630
27 F 0.1831 0.6724 0.5448
28 F 0.2965 0.2963 0.7463
29 F 0.9108 0.1394 0.7955
30 F 0.0002 0.7037 0.7537
31 F 0.2790 0.5562 0.3370
32 F 0.2286 0.1394 0.2955
33 F 0.7714 0.8606 0.7045
34 F 0.5107 0.3276 0.9552
35 F 0.2773 0.5562 0.8370
36 F 0.8656 0.7427 0.9868
37 F 0.6972 0.0769 0.5911
38 F 0.8771 0.7427 0.4868
39 F 0.1229 0.2573 0.5132
40 F 0.4171 0.8614 0.7083
41 F 0.0892 0.8606 0.2045
42 F 0.5829 0.1386 0.2917
43 F 0.4444 0.8614 0.2083
44 F 0.7227 0.4438 0.1630
45 F 0.4044 0.5201 0.5928
46 F 0.1344 0.2573 0.0132

=====

[6]
Computed, not measured: an optimized crystal structure of Tl2SnF6 at the GGA-PBEsol level of DFT.

Output
- SG: P-3m1 (164)

Cell: 4.7864 5.9998 5.9998 Å, 120.00 90.00 90.00°
Sites, in units of the cell vectors:
1 Tl 0.6917 0.3333 0.6667
2 Tl 0.3083 0.6667 0.3333
3 Sn 0.0000 0.0000 0.0000
4 F 0.2296 0.1599 0.3197
5 F 0.2296 0.1599 0.8401
6 F 0.2296 0.6803 0.8401
7 F 0.7704 0.8401 0.6803
8 F 0.7704 0.8401 0.1599
9 F 0.7704 0.3197 0.1599

=====

In eV per atom, the final energy values for the records above are, in order, -7.011; -4.769; -4.924; -3.727; -5.333; -4.570.
In meV per atom, the formation energy from raw total energies values for the records above are, in order, -3936; -2375; -2413; -1260; -2519; -2227.
In μB/f.u., the total magnetization values for the records above are, in order, 0.1; 0.0; 0.0; 1.0; 0.0; 0.0.